The following is a PBE-GGA calculation of a relaxed structure of Ca3Br, from the Alexandria database.

The structure belongs to space group P4/mmm (No. 123); the cell edges are 6.232, 6.232 and 3.951 Å and the angles 90.00°, 90.00° and 90.00°. The asymmetric unit holds Ca at (0.000, 0.000, 0.000), Ca at (0.000, 0.500, 0.500) and Br at (0.500, 0.500, 0.000).

As for the uncorrected formation energy: -369 meV/atom. The value obtained for the relative energy among the computed polymorphs is 29.2 kJ per mole of atoms. As for the total DFT energy (no corrections): -9.15 eV/cell.

---

The following is a PBE-GGA calculation of a relaxed structure of Pr2ScIn3Te6, from the Alexandria database.

The structure belongs to space group C2/m (No. 12); the cell edges are 7.723, 13.349 and 8.458 Å and the angles 90.00°, 107.71° and 90.00°. The asymmetric unit holds Pr at (0.000, 0.166, 0.000), Sc at (0.000, 0.500, 0.000), In at (0.000, 0.000, 0.500), In at (0.000, 0.328, 0.500), Te at (0.230, 0.343, 0.220) and Te at (0.238, 0.500, 0.774).

As for the uncorrected formation energy: -935 meV/atom. As for the total DFT energy (no corrections): -108.35 eV/cell.

---

The following is a PBE-GGA calculation of a relaxed structure of Ta3CrRu2, from the Alexandria database.

The structure belongs to space group Cmmm (No. 65); the cell edges are 4.439, 13.300 and 6.338 Å and the angles 90.00°, 90.00° and 90.00°. The asymmetric unit holds Ta at (0.000, 0.000, 0.244), Ta at (0.000, 0.330, 0.240), Cr at (0.000, 0.166, 0.000), Ru at (0.000, 0.166, 0.500), Ru at (0.000, 0.500, 0.000) and Ru at (0.000, 0.500, 0.500).

As for the energy relative to the elements: -30.7 kJ/mol of atoms. The value obtained for the relative energy among the computed polymorphs is 0.0 kJ per mole of atoms. As for the total DFT energy (no corrections): -262.56 eV/cell.

---

The following is a PBE-GGA calculation of a relaxed structure of Ni2Ir4Os, from the Alexandria database.

The structure belongs to space group Cmmm (No. 65); the cell edges are 2.696, 19.412 and 3.846 Å and the angles 90.00°, 90.00° and 90.00°. The asymmetric unit holds Ni at (0.000, 0.200, 0.000), Ir at (0.000, 0.069, 0.000), Ir at (0.000, 0.359, 0.500) and Os at (0.000, 0.500, 0.500).

As for the energy relative to the elements: 20.7 kJ/mol of atoms. The value obtained for the relative energy among the computed polymorphs is 0.0 kJ per mole of atoms. As for the total DFT energy (no corrections): -113.47 eV/cell.

---

The following is a PBE-GGA calculation of a relaxed structure of Ag2MoW, from the Alexandria database.

The structure belongs to space group P4mm (No. 99); the cell edges are 2.715, 2.715 and 9.085 Å and the angles 90.00°, 90.00° and 90.00°. The asymmetric unit holds Ag at (0.000, 0.000, 0.000), Ag at (0.500, 0.500, 0.254), Mo at (0.000, 0.000, 0.504) and W at (0.500, 0.500, 0.751).

As for the energy relative to the elements: 41.1 kJ/mol of atoms. The value obtained for the relative energy among the computed polymorphs is 11.7 kJ per mole of atoms. As for the total DFT energy (no corrections): -27.78 eV/cell.

---

The following is a PBE-GGA calculation of a relaxed structure of Hf2Zn3Au2, from the Alexandria database.

The structure belongs to space group Cmmm (No. 65); the cell edges are 4.465, 19.144 and 2.973 Å and the angles 90.00°, 90.00° and 90.00°. The asymmetric unit holds Hf at (0.000, 0.151, 0.000), Zn at (0.000, 0.000, 0.000), Zn at (0.000, 0.433, 0.500) and Au at (0.000, 0.293, 0.500).

As for the energy relative to the elements: -19.5 kJ/mol of atoms. The value obtained for the relative energy among the computed polymorphs is 3.3 kJ per mole of atoms. As for the total DFT energy (no corrections): -63.40 eV/cell.

---

The following is a PBE-GGA calculation of a relaxed structure of Ag2AsIr, from the Alexandria database.

The structure belongs to space group P4mm (No. 99); the cell edges are 2.993, 2.993 and 7.907 Å and the angles 90.00°, 90.00° and 90.00°. The asymmetric unit holds Ag at (0.000, 0.000, 0.000), Ag at (0.500, 0.500, 0.253), As at (0.000, 0.000, 0.564) and Ir at (0.500, 0.500, 0.739).

As for the energy relative to the elements: 7.1 kJ/mol of atoms. As for the total DFT energy (no corrections): -18.92 eV/cell.

---

The following is a PBE-GGA calculation of a relaxed structure of RbCu2N, from the Alexandria database.

The structure belongs to space group I4_1/amd (No. 141, origin choice 2); the cell edges are 6.089, 6.089 and 8.581 Å and the angles 90.00°, 90.00° and 90.00°. The asymmetric unit holds Rb at (0.000, 0.250, 0.375), Cu at (0.000, 0.000, 0.000) and N at (0.000, 0.250, 0.875).

As for the uncorrected formation energy: 29 meV/atom. As for the total DFT energy (no corrections): -69.47 eV/cell.

---

The following is a PBE-GGA calculation of a relaxed structure of RbCaCdMo2, from the Alexandria database.

The structure belongs to space group P4/mmm (No. 123); the cell edges are 5.459, 5.459 and 5.955 Å and the angles 90.00°, 90.00° and 90.00°. The asymmetric unit holds Rb at (0.000, 0.000, 0.000), Ca at (0.500, 0.500, 0.000), Cd at (0.000, 0.000, 0.500) and Mo at (0.000, 0.500, 0.500).

As for the energy relative to the elements: 169.3 kJ/mol of atoms. The value obtained for the relative energy among the computed polymorphs is 0.0 kJ per mole of atoms. As for the total DFT energy (no corrections): -16.77 eV/cell.

---

The following is a PBE-GGA calculation of a relaxed structure of Ce5Sb3P, from the Alexandria database.

The structure belongs to space group I4/mcm (No. 140); the cell edges are 8.264, 8.264 and 15.453 Å and the angles 90.00°, 90.00° and 90.00°. The asymmetric unit holds Ce at (0.000, 0.000, 0.000), Ce at (0.179, 0.321, 0.141), Sb at (0.000, 0.000, 0.250), Sb at (0.131, 0.369, 0.500) and P at (0.000, 0.500, 0.250).

As for the uncorrected formation energy: -848 meV/atom. As for the total DFT energy (no corrections): -220.33 eV/cell.

---

The following is a PBE-GGA calculation of a relaxed structure of LiBiPd6, from the Alexandria database.

The structure belongs to space group Cmmm (No. 65); the cell edges are 7.999, 8.007 and 4.066 Å and the angles 90.00°, 90.00° and 90.00°. The asymmetric unit holds Li at (0.000, 0.000, 0.000), Bi at (0.000, 0.500, 0.000), Pd at (0.000, 0.243, 0.500), Pd at (0.244, 0.000, 0.500) and Pd at (0.250, 0.250, 0.000).

As for the energy relative to the elements: -25.7 kJ/mol of atoms. The value obtained for the relative energy among the computed polymorphs is 0.0 kJ per mole of atoms. As for the total DFT energy (no corrections): -78.16 eV/cell.

---

The following is a PBE-GGA calculation of a relaxed structure of RuPbCl2, from the Alexandria database.

The structure belongs to space group P4/mmm (No. 123); the cell edges are 4.607, 4.607 and 4.126 Å and the angles 90.00°, 90.00° and 90.00°. The asymmetric unit holds Ru at (0.000, 0.000, 0.000), Pb at (0.500, 0.500, 0.000) and Cl at (0.000, 0.500, 0.500).

As for the uncorrected formation energy: 364 meV/atom. The value obtained for the relative energy among the computed polymorphs is 54.3 kJ per mole of atoms. As for the total DFT energy (no corrections): -15.22 eV/cell.